Entry 1:
# LaTb2YEr

A relaxed structure of LaTb2YEr (GGA-PBE, Alexandria).

```
LaTb2YEr
1.0
7.2553 0.0000 0.0000
0.0000 8.4497 0.0000
0.0000 -4.2249 5.7778
Tb La Er Y
4 2 2 2
Direct
0.0000 0.3103 0.0000
0.5000 0.6897 0.0000
0.5000 0.3103 0.0000
0.0000 0.6897 0.0000
0.7500 0.2689 0.5378
0.2500 0.7311 0.4622
0.2500 0.2810 0.5620
0.7500 0.7190 0.4380
0.2500 0.0014 0.0027
0.7500 0.9986 0.9973
```

* SG: Cmcm, No. 63
* formation energy from the elements: 0.37 eV/atom

Entry 2:
# BaInB2N

A relaxed structure of BaInB2N (GGA-PBE, Alexandria).

```
BaInB2N
1.0
-3.4368 1.9353 2.8293
1.9472 -1.5272 3.4099
2.5919 4.0891 0.3513
B N In Ba
2 1 1 1
Direct
0.0000 0.0000 0.5000
0.5000 0.0000 0.0000
0.0000 0.0000 0.0000
0.0000 0.5000 0.0000
0.5000 0.5000 0.5000
```

* SG: P4/mmm, No. 123
* formation energy (no corrections): 1.735 eV/atom

How do the records compare in calculated volume? In the order shown, they have 354.2; 99.3 Å³ per cell.
How do the records compare in density of states at the Fermi level? In the order shown, they have 14.7; 4.3 states/eV per cell.